Arrangement i

This record from Alexandria describes BaOsF3 after structural relaxation. The functional is GGA-PBE.

Results
Calculated density ... 4.9 Mg/m³
Size of the total moment ... 5.000 μB per cell
N(E_F) ... 10.294 states/eV/f.u.

Cell and atoms, written as CIF:
```
data_BaOsF3
_chemical_formula_sum 'Ba1 Os1 F3'
_space_group_name_H-M_alt 'P m -3 m'
_space_group_IT_number 221
_space_group_name_Hall '-P 4 2 3'
_cell_length_a 5.0773
_cell_length_b 5.0773
_cell_length_c 5.0773
_cell_angle_alpha 90.00
_cell_angle_beta 90.00
_cell_angle_gamma 90.00
loop_
_atom_site_label
_atom_site_type_symbol
_atom_site_fract_x
_atom_site_fract_y
_atom_site_fract_z
_atom_site_occupancy
Ba1 Ba 0.0000 0.0000 0.0000 1
Os1 Os 0.5000 0.5000 0.5000 1
F1 F 0.0000 0.0000 0.5000 1
```

=====

Arrangement ii

This record from Alexandria describes BaOsF3 after structural relaxation. The functional is GGA-PBE.

Results
Calculated density ... 7.3 Mg/m³
Size of the total moment ... 0.779 μB per cell
N(E_F) ... 1.305 states/eV/f.u.

Cell and atoms, written as CIF:
```
data_BaOsF3
_chemical_formula_sum 'Ba1 Os1 F3'
_space_group_name_H-M_alt 'P m -3 m'
_space_group_IT_number 221
_space_group_name_Hall '-P 4 2 3'
_cell_length_a 4.4383
_cell_length_b 4.4383
_cell_length_c 4.4383
_cell_angle_alpha 90.00
_cell_angle_beta 90.00
_cell_angle_gamma 90.00
loop_
_atom_site_label
_atom_site_type_symbol
_atom_site_fract_x
_atom_site_fract_y
_atom_site_fract_z
_atom_site_occupancy
Ba1 Ba 0.0000 0.0000 0.0000 1
Os1 Os 0.5000 0.5000 0.5000 1
F1 F 0.0000 0.5000 0.5000 1
```

=====

Computed relative energies in units of meV per atom: arrangement i 325; arrangement ii 0

=====

Arrangement i

This record from Alexandria describes Ba2OsF after structural relaxation. The functional is GGA-PBE.

Results
Calculated density ... 5.8 Mg/m³
Size of the total moment ... 4.000 μB per cell
N(E_F) ... 2.641 states/eV/f.u.

Cell and atoms, written as CIF:
```
data_Ba2OsF
_chemical_formula_sum 'Ba8 Os4 F4'
_space_group_name_H-M_alt 'I -4 2 d'
_space_group_IT_number 122
_space_group_name_Hall 'I -4 2bw'
_cell_length_a 6.3092
_cell_length_b 6.3092
_cell_length_c 13.8496
_cell_angle_alpha 90.00
_cell_angle_beta 90.00
_cell_angle_gamma 90.00
loop_
_atom_site_label
_atom_site_type_symbol
_atom_site_fract_x
_atom_site_fract_y
_atom_site_fract_z
_atom_site_occupancy
Ba1 Ba 0.2171 0.2500 0.1250 1
Os1 Os 0.0000 0.0000 0.5000 1
F1 F 0.0000 0.0000 0.0000 1
```

=====

Arrangement ii

This record from Alexandria describes Ba2OsF after structural relaxation. The functional is GGA-PBE.

Results
Calculated density ... 7.6 Mg/m³
Size of the total moment ... 4.000 μB per cell
N(E_F) ... 7.265 states/eV/f.u.

Cell and atoms, written as CIF:
```
data_Ba2OsF
_chemical_formula_sum 'Ba8 Os4 F4'
_space_group_name_H-M_alt 'F m -3 m'
_space_group_IT_number 225
_space_group_name_Hall '-F 4 2 3'
_cell_length_a 7.5155
_cell_length_b 7.5155
_cell_length_c 7.5155
_cell_angle_alpha 90.00
_cell_angle_beta 90.00
_cell_angle_gamma 90.00
loop_
_atom_site_label
_atom_site_type_symbol
_atom_site_fract_x
_atom_site_fract_y
_atom_site_fract_z
_atom_site_occupancy
Ba1 Ba 0.2500 0.2500 0.2500 1
Os1 Os 0.0000 0.0000 0.0000 1
F1 F 0.0000 0.0000 0.5000 1
```

=====

Computed relative energies in units of meV per atom: arrangement i 0; arrangement ii 115

=====

Arrangement i

This record from Alexandria describes BaOs2F2 after structural relaxation. The functional is GGA-PBE.

Results
Calculated density ... 9.6 Mg/m³
Size of the total moment ... 0.000 μB per cell
N(E_F) ... 4.669 states/eV/f.u.

Cell and atoms, written as CIF:
```
data_BaOs2F2
_chemical_formula_sum 'Ba2 Os4 F4'
_space_group_name_H-M_alt 'P 4/m b m'
_space_group_IT_number 127
_space_group_name_Hall '-P 4 2ab'
_cell_length_a 8.0439
_cell_length_b 8.0439
_cell_length_c 2.9799
_cell_angle_alpha 90.00
_cell_angle_beta 90.00
_cell_angle_gamma 90.00
loop_
_atom_site_label
_atom_site_type_symbol
_atom_site_fract_x
_atom_site_fract_y
_atom_site_fract_z
_atom_site_occupancy
Ba1 Ba 0.0000 0.0000 0.0000 1
Os1 Os 0.0957 0.4043 0.0000 1
F1 F 0.2463 0.7463 0.5000 1
```

=====

Arrangement ii

This record from Alexandria describes BaOs2F2 after structural relaxation. The functional is GGA-PBE.

Results
Calculated density ... 9.0 Mg/m³
Size of the total moment ... 3.766 μB per cell
N(E_F) ... 2.305 states/eV/f.u.

Cell and atoms, written as CIF:
```
data_BaOs2F2
_chemical_formula_sum 'Ba2 Os4 F4'
_space_group_name_H-M_alt 'I 4/m m m'
_space_group_IT_number 139
_space_group_name_Hall '-I 4 2'
_cell_length_a 4.4433
_cell_length_b 4.4433
_cell_length_c 10.3397
_cell_angle_alpha 90.00
_cell_angle_beta 90.00
_cell_angle_gamma 90.00
loop_
_atom_site_label
_atom_site_type_symbol
_atom_site_fract_x
_atom_site_fract_y
_atom_site_fract_z
_atom_site_occupancy
Ba1 Ba 0.0000 0.0000 0.0000 1
Os1 Os 0.0000 0.0000 0.3959 1
F1 F 0.0000 0.5000 0.2500 1
```

=====

Computed relative energies in units of meV per atom: arrangement i 60; arrangement ii 0

=====

Arrangement i

This record from Alexandria describes Ba2PF after structural relaxation. The functional is GGA-PBE.

Results
Calculated density ... 4.9 Mg/m³
Size of the total moment ... 0.000 μB per cell
N(E_F) ... 0.000 states/eV/f.u.

Cell and atoms, written as CIF:
```
data_Ba2PF
_chemical_formula_sum 'Ba8 P4 F4'
_space_group_name_H-M_alt 'F m -3 m'
_space_group_IT_number 225
_space_group_name_Hall '-F 4 2 3'
_cell_length_a 7.5935
_cell_length_b 7.5935
_cell_length_c 7.5935
_cell_angle_alpha 90.00
_cell_angle_beta 90.00
_cell_angle_gamma 90.00
loop_
_atom_site_label
_atom_site_type_symbol
_atom_site_fract_x
_atom_site_fract_y
_atom_site_fract_z
_atom_site_occupancy
Ba1 Ba 0.2500 0.2500 0.2500 1
P1 P 0.0000 0.0000 0.0000 1
F1 F 0.0000 0.0000 0.5000 1
```

=====

Arrangement ii

This record from Alexandria describes Ba2PF after structural relaxation. The functional is GGA-PBE.

Results
Calculated density ... 4.4 Mg/m³
Size of the total moment ... 0.000 μB per cell

Cell and atoms, written as CIF:
```
data_Ba2PF
_chemical_formula_sum 'Ba6 P3 F3'
_space_group_name_H-M_alt 'R -3 m'
_space_group_IT_number 166
_space_group_name_Hall '-R 3 2"'
_cell_length_a 4.5275
_cell_length_b 4.5275
_cell_length_c 20.5199
_cell_angle_alpha 90.00
_cell_angle_beta 90.00
_cell_angle_gamma 120.00
loop_
_atom_site_label
_atom_site_type_symbol
_atom_site_fract_x
_atom_site_fract_y
_atom_site_fract_z
_atom_site_occupancy
Ba1 Ba 0.0000 0.0000 0.2481 1
P1 P 0.0000 0.0000 0.0000 1
F1 F 0.0000 0.0000 0.5000 1
```

=====

Arrangement iii

This record from Alexandria describes Ba2PF after structural relaxation. The functional is GGA-PBE.

Results
Calculated density ... 3.7 Mg/m³
Size of the total moment ... 0.000 μB per cell
N(E_F) ... 0.000 states/eV/f.u.

Cell and atoms, written as CIF:
```
data_Ba2PF
_chemical_formula_sum 'Ba8 P4 F4'
_space_group_name_H-M_alt 'I -4 2 d'
_space_group_IT_number 122
_space_group_name_Hall 'I -4 2bw'
_cell_length_a 6.3510
_cell_length_b 6.3510
_cell_length_c 14.4222
_cell_angle_alpha 90.00
_cell_angle_beta 90.00
_cell_angle_gamma 90.00
loop_
_atom_site_label
_atom_site_type_symbol
_atom_site_fract_x
_atom_site_fract_y
_atom_site_fract_z
_atom_site_occupancy
Ba1 Ba 0.2116 0.2500 0.1250 1
P1 P 0.0000 0.0000 0.5000 1
F1 F 0.0000 0.0000 0.0000 1
```

=====

Computed relative energies in units of meV per atom: arrangement i 134; arrangement ii 0; arrangement iii 109

=====

Arrangement i

This record from Alexandria describes Ba2PF after structural relaxation. The functional is GGA-PBE.

Results
Calculated density ... 4.0 Mg/m³
Size of the total moment ... 0.000 μB per cell

Cell and atoms, written as CIF:
```
data_Ba2PF
_chemical_formula_sum 'Ba4 P2 F2'
_space_group_name_H-M_alt 'C 1 m 1'
_space_group_IT_number 8
_space_group_name_Hall 'C -2y'
_cell_length_a 7.9931
_cell_length_b 4.6114
_cell_length_c 7.3875
_cell_angle_alpha 90.00
_cell_angle_beta 90.07
_cell_angle_gamma 90.00
loop_
_atom_site_label
_atom_site_type_symbol
_atom_site_fract_x
_atom_site_fract_y
_atom_site_fract_z
_atom_site_occupancy
Ba1 Ba 0.0000 0.0000 0.0000 1
Ba2 Ba 0.1668 0.5000 0.4674 1
P1 P 0.3335 0.0000 0.2538 1
F1 F 0.1655 0.5000 0.8285 1
```

=====

Arrangement ii

This record from Alexandria describes Ba2PF after structural relaxation. The functional is GGA-PBE.

Results
Calculated density ... 4.2 Mg/m³
Size of the total moment ... 0.000 μB per cell

Cell and atoms, written as CIF:
```
data_Ba2PF
_chemical_formula_sum 'Ba6 P3 F3'
_space_group_name_H-M_alt 'R 3 m'
_space_group_IT_number 160
_space_group_name_Hall 'R 3 -2"'
_cell_length_a 4.4340
_cell_length_b 4.4340
_cell_length_c 22.6226
_cell_angle_alpha 90.00
_cell_angle_beta 90.00
_cell_angle_gamma 120.00
loop_
_atom_site_label
_atom_site_type_symbol
_atom_site_fract_x
_atom_site_fract_y
_atom_site_fract_z
_atom_site_occupancy
Ba1 Ba 0.0000 0.0000 0.0000 1
Ba2 Ba 0.0000 0.0000 0.1747 1
P1 P 0.0000 0.0000 0.5829 1
F1 F 0.0000 0.0000 0.3986 1
```

=====

Computed relative energies in units of meV per atom: arrangement i 0; arrangement ii 91